[1]
First-principles (GGA-PBE) data for an optimized crystal structure of Sc2GeB, as listed in the Alexandria database.

a = 4.533 Å, b = 4.533 Å, c = 4.533 Å
α = 60.00°, β = 60.00°, γ = 60.00°
Sites, in units of the cell vectors:
Sc 0.750 0.750 0.750
B 0.000 0.000 0.000
Ge 0.500 0.500 0.500
Sc 0.250 0.250 0.250

density	4.37	g/cm³
E	-6.087	eV/atom
spin magnetization	0.00	μB/cell

***

[2]
First-principles (GGA-PBE) data for an optimized crystal structure of Sc2GeB, as listed in the Alexandria database.

a = 3.797 Å, b = 3.810 Å, c = 5.478 Å
α = 87.76°, β = 87.88°, γ = 65.26°
Sites, in units of the cell vectors:
Ge 0.546 0.630 0.262
B 0.537 0.620 0.692
Sc 0.208 0.292 0.947
Sc 0.895 0.981 0.526

density	4.00	g/cm³
E	-6.300	eV/atom
spin magnetization	0.00	μB/cell

***

[3]
First-principles (GGA-PBE) data for an optimized crystal structure of Sc2GeB, as listed in the Alexandria database.

a = 3.483 Å, b = 3.897 Å, c = 9.556 Å
α = 90.00°, β = 90.00°, γ = 90.00°
Sites, in units of the cell vectors:
Sc 0.000 0.000 0.074
Sc 0.500 0.000 0.785
B 0.500 0.500 0.011
B 0.500 0.000 0.511
Ge 0.000 0.000 0.370
Ge 0.000 0.500 0.870
Sc 0.000 0.500 0.574
Sc 0.500 0.500 0.285

density	4.44	g/cm³
E	-6.550	eV/atom
spin magnetization	0.00	μB/cell

***

[4]
First-principles (GGA-PBE) data for an optimized crystal structure of Sc2GeB, as listed in the Alexandria database.

a = 7.467 Å, b = 3.406 Å, c = 5.202 Å
α = 90.00°, β = 90.00°, γ = 90.00°
Sites, in units of the cell vectors:
B 0.500 0.500 0.432
Ge 0.000 0.500 0.193
Ge 0.500 0.000 0.693
Sc 0.698 0.000 0.199
Sc 0.802 0.500 0.699
B 0.000 0.000 0.932
Sc 0.302 0.000 0.199
Sc 0.198 0.500 0.699

density	4.35	g/cm³
E	-6.413	eV/atom
spin magnetization	0.00	μB/cell

***

[5]
First-principles (GGA-PBE) data for an optimized crystal structure of Sc2GeB, as listed in the Alexandria database.

a = 4.071 Å, b = 4.071 Å, c = 14.498 Å
α = 90.00°, β = 90.00°, γ = 120.00°
Sites, in units of the cell vectors:
B 0.333 0.667 0.167
Sc 0.000 0.000 0.237
Sc 0.000 0.000 0.763
B 0.667 0.333 0.833
Ge 0.000 0.000 0.000
Sc 0.667 0.333 0.096
Sc 0.333 0.667 0.430
Sc 0.667 0.333 0.570
Ge 0.667 0.333 0.333
Sc 0.333 0.667 0.904
B 0.000 0.000 0.500
Ge 0.333 0.667 0.667

density	4.15	g/cm³
E	-6.224	eV/atom
spin magnetization	0.00	μB/cell

***

[6]
First-principles (GGA-PBE) data for an optimized crystal structure of Sc2GeB, as listed in the Alexandria database.

a = 3.323 Å, b = 3.599 Å, c = 11.734 Å
α = 90.00°, β = 99.25°, γ = 90.00°
Sites, in units of the cell vectors:
B 0.279 0.000 0.434
Sc 0.981 0.500 0.750
Sc 0.771 0.500 0.463
Sc 0.771 0.000 0.963
B 0.279 0.500 0.934
Ge 0.395 0.500 0.115
Sc 0.981 0.000 0.250
Ge 0.395 0.000 0.615

density	4.16	g/cm³
E	-6.353	eV/atom
spin magnetization	0.00	μB/cell

***

Record-wise DOS at the Fermi energy values, in states/eV/cell: 2.67, 2.48, 6.58, 5.68, 6.99, 4.72
Record-wise calculated volume values, in Å³ per cell: 65.9, 71.9, 129.7, 132.3, 208.1, 138.5
Record-wise E above lowest polymorph values, in meV/atom: 463, 250, 0, 137, 326, 197